Below is crystalline RbVF3 at its relaxed geometry, with properties calculated at the PBE with a Hubbard U level.

Cell lengths 5.8074, 12.1995, 5.2544 Å; angles 90.00, 90.00, 90.00 degrees
With the nearest neighbours (Å) after each atom.
Sites, in units of the cell vectors:
Rb: 0.0000 0.0000 0.0000  4 F 2.64-2.66
Rb: 0.0000 0.5000 0.0000  4 F 2.64-2.66
Rb: 0.5000 0.0000 0.5000  4 F 2.64-2.66
Rb: 0.5000 0.5000 0.5000  4 F 2.64-2.66
V: 0.0285 0.2500 0.4568  4 F 2.10-2.16
V: 0.4715 0.7500 0.9568  4 F 2.10-2.16
V: 0.5285 0.2500 0.0432  4 F 2.10-2.16
V: 0.9715 0.7500 0.5432  4 F 2.10-2.16
F: 0.1946 0.7500 0.2132  2 V 2.10-2.16
F: 0.2147 0.6444 0.7109  2 V 2.10-2.36
F: 0.2147 0.8556 0.7109  2 V 2.10-2.36
F: 0.2853 0.1444 0.2109  2 V 2.10-2.36
F: 0.2853 0.3556 0.2109  2 V 2.10-2.36
F: 0.3054 0.2500 0.7132  2 V 2.10-2.16
F: 0.6946 0.7500 0.2868  2 V 2.10-2.16
F: 0.7147 0.6444 0.7891  2 V 2.10-2.36
F: 0.7147 0.8556 0.7891  2 V 2.10-2.36
F: 0.7853 0.1444 0.2891  2 V 2.10-2.36
F: 0.7853 0.3556 0.2891  2 V 2.10-2.36
F: 0.8054 0.2500 0.7868  2 V 2.10-2.16

Results
Its crystal system is orthorhombic. The value obtained for the spin magnetization is 3.0 μB per formula unit. The calculation puts the energy at -5.307 eV per atom. Its space-group type is Pnma (62).